# AgSNO2

An optimized crystal structure of AgSNO2 (PBE, Alexandria via LeMat-Bulk).

Cell lengths 3.456, 3.456, 4.423 Å; angles 90.00, 90.00, 90.00 degrees
Fractional coordinates of all 5 atoms:
1 Ag 0.000 0.000 0.000
2 S 0.500 0.500 0.500
3 N 0.500 0.500 0.000
4 O 0.000 0.500 0.500
5 O 0.500 0.000 0.500

V	10.57	A^3/atom
formation energy (no corrections)	0.7756	eV/atom